Record 1
This record from Alexandria via LeMat-Bulk describes NiAgAs after structural relaxation. The functional is PBE. Values from VASP.

Geometry as Quantum ESPRESSO input:
```
&SYSTEM
  ibrav = 0, nat = 6, ntyp = 3
/
ATOMIC_SPECIES
Ni 58.69 Ni.upf
Ag 107.87 Ag.upf
As 74.92 As.upf
ATOMIC_POSITIONS crystal
Ni 0.250 0.750 0.000
Ni 0.750 0.250 0.000
Ag 0.250 0.250 0.334
Ag 0.750 0.750 0.666
As 0.250 0.250 0.772
As 0.750 0.750 0.228
CELL_PARAMETERS angstrom
3.978 0.000 0.000
0.000 3.978 0.000
0.000 0.000 6.118
```

Output
- calculated density (Mg/m³) = 8.3
- distance to the lowest polymorph of the same formula (eV per atom) = 0.000
- ΔE_f (meV/atom) = -57
- magnetic moment (μB per cell) = 0.00
- space group = P4/nmm, No. 129
- calculated total energy (eV per atom) = -4.485
- DOS at the Fermi energy (states/eV/atom) = 0.71

Record 2
This record from Alexandria via LeMat-Bulk describes Ni2AgAs2 after structural relaxation. The functional is PBE. Values from VASP.

Geometry as Quantum ESPRESSO input:
```
&SYSTEM
  ibrav = 0, nat = 5, ntyp = 3
/
ATOMIC_SPECIES
Ni 58.69 Ni.upf
Ag 107.87 Ag.upf
As 74.92 As.upf
ATOMIC_POSITIONS crystal
Ni 0.120 0.120 0.000
Ni 0.880 0.880 0.000
Ag 0.500 0.500 0.000
As 0.250 0.750 0.500
As 0.750 0.250 0.500
CELL_PARAMETERS angstrom
-1.997 1.997 5.132
1.997 -1.997 5.132
1.997 1.997 -5.132
```

Output
- calculated density (Mg/m³) = 7.6
- distance to the lowest polymorph of the same formula (eV per atom) = 0.172
- ΔE_f (meV/atom) = 133
- magnetic moment (μB per cell) = 0.00
- space group = I4/mmm, No. 139
- calculated total energy (eV per atom) = -4.609
- DOS at the Fermi energy (states/eV/atom) = 0.66

Record 3
This record from Alexandria via LeMat-Bulk describes Ni2AgAs after structural relaxation. The functional is PBE. Values from VASP.

Geometry as Quantum ESPRESSO input:
```
&SYSTEM
  ibrav = 0, nat = 4, ntyp = 3
/
ATOMIC_SPECIES
Ni 58.69 Ni.upf
Ag 107.87 Ag.upf
As 74.92 As.upf
ATOMIC_POSITIONS crystal
Ni 0.000 0.000 0.000
Ni 0.259 0.259 0.259
Ag 0.753 0.753 0.753
As 0.525 0.525 0.525
CELL_PARAMETERS angstrom
1.431 0.826 8.329
-1.431 0.826 8.329
0.000 -1.652 8.329
```

Output
- calculated density (Mg/m³) = 8.4
- ΔE_f (meV/atom) = 197
- magnetic moment (μB per cell) = 0.00
- space group = R3m, No. 160
- calculated total energy (eV per atom) = -4.569
- DOS at the Fermi energy (states/eV/atom) = 0.73

Record 4
This record from Alexandria via LeMat-Bulk describes Ni2AgAs after structural relaxation. The functional is PBE. Values from VASP.

Geometry as Quantum ESPRESSO input:
```
&SYSTEM
  ibrav = 0, nat = 4, ntyp = 3
/
ATOMIC_SPECIES
Ni 58.69 Ni.upf
Ag 107.87 Ag.upf
As 74.92 As.upf
ATOMIC_POSITIONS crystal
Ni 0.000 0.000 0.000
Ni 0.500 0.500 0.209
Ag 0.000 0.000 0.468
As 0.500 0.500 0.817
CELL_PARAMETERS angstrom
3.034 0.000 0.000
0.000 3.104 0.000
0.000 0.000 6.177
```

Output
- calculated density (Mg/m³) = 8.6
- ΔE_f (meV/atom) = 76
- magnetic moment (μB per cell) = 0.00
- space group = Pmm2, No. 25
- calculated total energy (eV per atom) = -4.690
- DOS at the Fermi energy (states/eV/atom) = 1.00

Record 5
This record from Alexandria via LeMat-Bulk describes NiAg3As after structural relaxation. The functional is PBE. Values from VASP.

Geometry as Quantum ESPRESSO input:
```
&SYSTEM
  ibrav = 0, nat = 5, ntyp = 3
/
ATOMIC_SPECIES
Ni 58.69 Ni.upf
Ag 107.87 Ag.upf
As 74.92 As.upf
ATOMIC_POSITIONS crystal
Ni 0.000 0.000 0.000
Ag 0.000 0.000 0.500
Ag 0.000 0.500 0.000
Ag 0.500 0.000 0.000
As 0.500 0.500 0.500
CELL_PARAMETERS angstrom
4.751 0.000 0.000
0.000 4.751 0.000
0.000 0.000 4.751
```

Output
- calculated density (Mg/m³) = 7.1
- distance to the lowest polymorph of the same formula (eV per atom) = 0.051
- ΔE_f (meV/atom) = 864
- magnetic moment (μB per cell) = 0.75
- space group = Pm-3m, No. 221
- calculated total energy (eV per atom) = -2.933
- DOS at the Fermi energy (states/eV/atom) = 1.27

Record 6
This record from Alexandria via LeMat-Bulk describes NiAg2As2 after structural relaxation. The functional is PBE. Values from VASP.

Geometry as Quantum ESPRESSO input:
```
&SYSTEM
  ibrav = 0, nat = 10, ntyp = 3
/
ATOMIC_SPECIES
Ni 58.69 Ni.upf
Ag 107.87 Ag.upf
As 74.92 As.upf
ATOMIC_POSITIONS crystal
Ni 0.000 0.000 0.000
Ni 0.500 0.500 0.000
Ag 0.242 0.258 0.500
Ag 0.258 0.758 0.500
Ag 0.742 0.242 0.500
Ag 0.758 0.742 0.500
As 0.145 0.645 0.000
As 0.355 0.145 0.000
As 0.645 0.855 0.000
As 0.855 0.355 0.000
CELL_PARAMETERS angstrom
6.073 0.000 0.000
0.000 6.073 0.000
0.000 0.000 4.930
```

Output
- calculated density (Mg/m³) = 7.7
- ΔE_f (meV/atom) = 42
- magnetic moment (μB per cell) = 0.00
- space group = P4/mbm, No. 127
- calculated total energy (eV per atom) = -4.114
- DOS at the Fermi energy (states/eV/atom) = 0.37